# 1
The following is a GGA-PBE calculation of Cs3Pm3GeS8 after structural relaxation, from Alexandria via LeMat-Bulk.

Results
Mass density   4.06 g/cm³
E_form (uncorrected)   -33.0 kcal/mol of atoms
SG   R-3m

a = 8.1516 Å, b = 8.1527 Å, c = 9.5061 Å
α = 115.40°, β = 90.00°, γ = 120.00°
Fractional coordinates of all 15 atoms:
S (0.7283, 0.4567, 0.6850)
Ge (0.0000, 0.0000, 0.5000)
Pm (0.5000, 0.5000, 0.5000)
S (0.2055, 0.9653, 0.6708)
Pm (0.5000, 0.0000, 0.5000)
Cs (0.0000, 0.0000, 0.0000)
Cs (0.5000, 0.5000, 0.0000)
S (0.2402, 0.0347, 0.3292)
S (0.2717, 0.5433, 0.3150)
S (0.2054, 0.4108, 0.6707)
S (0.7946, 0.5892, 0.3293)
S (0.7945, 0.0347, 0.3292)
S (0.7598, 0.9653, 0.6708)
Cs (0.0000, 0.5000, 0.0000)
Pm (0.0000, 0.5000, 0.5000)



# 2
The following is a GGA-PBE calculation of CsPmGeSe4 after structural relaxation, from Alexandria via LeMat-Bulk.

Results
Mass density   4.80 g/cm³
E_form (uncorrected)   -26.9 kcal/mol of atoms
SG   P2_1/m

a = 6.8636 Å, b = 7.1362 Å, c = 9.9163 Å
α = 90.00°, β = 108.35°, γ = 90.00°
Fractional coordinates of all 14 atoms:
Se (0.0155, 0.5088, 0.7012)
Cs (0.7450, 0.7500, 0.9392)
Ge (0.7830, 0.2500, 0.6659)
Se (0.0155, 0.9912, 0.7012)
Pm (0.2284, 0.2500, 0.5489)
Se (0.5714, 0.2500, 0.4260)
Se (0.4286, 0.7500, 0.5740)
Se (0.4178, 0.7500, 0.1803)
Se (0.5822, 0.2500, 0.8197)
Pm (0.7716, 0.7500, 0.4511)
Cs (0.2550, 0.2500, 0.0608)
Se (0.9845, 0.0088, 0.2988)
Ge (0.2170, 0.7500, 0.3341)
Se (0.9845, 0.4912, 0.2988)



# 3
The following is a GGA-PBE calculation of CsPmGeTe3 after structural relaxation, from Alexandria via LeMat-Bulk.

Results
Mass density   4.88 g/cm³
E_form (uncorrected)   -22.3 kcal/mol of atoms
SG   P2_1/m

a = 4.3962 Å, b = 9.8605 Å, c = 12.4538 Å
α = 112.49°, β = 90.00°, γ = 90.00°
Fractional coordinates of all 12 atoms:
Ge (0.2500, 0.1166, 0.5561)
Pm (0.7500, 0.3641, 0.8418)
Te (0.7500, 0.8883, 0.2283)
Te (0.7500, 0.3918, 0.1012)
Cs (0.2500, 0.2379, 0.2834)
Te (0.2500, 0.6858, 0.4268)
Te (0.2500, 0.6082, 0.8988)
Pm (0.2500, 0.6359, 0.1582)
Ge (0.7500, 0.8834, 0.4439)
Cs (0.7500, 0.7621, 0.7166)
Te (0.2500, 0.1117, 0.7717)
Te (0.7500, 0.3142, 0.5732)



# 4
The following is a GGA-PBE calculation of Cs2PrGe2S6 after structural relaxation, from Alexandria via LeMat-Bulk.

Results
Mass density   3.29 g/cm³
E_form (uncorrected)   -20.9 kcal/mol of atoms
SG   C2/m

a = 7.4032 Å, b = 7.4027 Å, c = 8.9962 Å
α = 114.20°, β = 90.00°, γ = 120.00°
Fractional coordinates of all 11 atoms:
S (0.7459, 0.4917, 0.7397)
S (0.2530, 0.0027, 0.2581)
S (0.2541, 0.5083, 0.2603)
S (0.7496, 0.0027, 0.2581)
Ge (0.8964, 0.7928, 0.6869)
S (0.7470, 0.9973, 0.7419)
Cs (0.7156, 0.4311, 0.1482)
S (0.2504, 0.9973, 0.7419)
Ge (0.1036, 0.2072, 0.3131)
Cs (0.2844, 0.5689, 0.8518)
Pr (0.5000, 0.0000, 0.5000)



# 5
The following is a GGA-PBE calculation of CsPrGeSe4 after structural relaxation, from Alexandria via LeMat-Bulk.

Results
Mass density   4.70 g/cm³
E_form (uncorrected)   -27.0 kcal/mol of atoms
SG   P2_1/m

a = 6.9243 Å, b = 7.1457 Å, c = 9.9544 Å
α = 90.00°, β = 108.23°, γ = 90.00°
Fractional coordinates of all 14 atoms:
Se (0.0148, 0.5090, 0.7044)
Ge (0.7858, 0.2500, 0.6690)
Se (0.5854, 0.2500, 0.8216)
Pr (0.2301, 0.2500, 0.5491)
Ge (0.2142, 0.7500, 0.3310)
Se (0.4146, 0.7500, 0.1784)
Se (0.4200, 0.7500, 0.5715)
Pr (0.7699, 0.7500, 0.4509)
Se (0.5800, 0.2500, 0.4285)
Se (0.0148, 0.9910, 0.7044)
Cs (0.2586, 0.2500, 0.0621)
Se (0.9852, 0.0090, 0.2956)
Se (0.9852, 0.4910, 0.2956)
Cs (0.7414, 0.7500, 0.9379)



# 6
The following is a GGA-PBE calculation of Cs2PrGeSe4 after structural relaxation, from Alexandria via LeMat-Bulk.

Results
Mass density   3.74 g/cm³
E_form (uncorrected)   -23.8 kcal/mol of atoms
SG   Fddd

a = 6.9441 Å, b = 8.3641 Å, c = 13.8010 Å
α = 84.01°, β = 75.43°, γ = 65.47°
Fractional coordinates of all 16 atoms:
Pr (0.0000, 0.0000, 0.0000)
Ge (0.2500, 0.5000, 0.5000)
Cs (0.1823, 0.0000, 0.6353)
Se (0.3262, 0.8028, 0.1035)
Se (0.4238, 0.6972, 0.3965)
Pr (0.7500, 0.5000, 0.5000)
Ge (0.5000, 0.0000, 0.0000)
Se (0.1797, 0.3028, 0.3965)
Cs (0.9323, 0.5000, 0.1353)
Se (0.8790, 0.6972, 0.6035)
Se (0.8710, 0.8028, 0.8965)
Cs (0.5677, 0.5000, 0.8647)
Se (0.2325, 0.1972, 0.8965)
Se (0.5703, 0.1972, 0.1035)
Cs (0.8177, 0.0000, 0.3647)
Se (0.5175, 0.3028, 0.6035)



# 7
The following is a GGA-PBE calculation of Cs2PrGe2Se6 after structural relaxation, from Alexandria via LeMat-Bulk.

Results
Mass density   3.99 g/cm³
E_form (uncorrected)   -19.1 kcal/mol of atoms
SG   C2/m

a = 7.7283 Å, b = 7.7286 Å, c = 9.3542 Å
α = 114.11°, β = 90.00°, γ = 120.00°
Fractional coordinates of all 11 atoms:
Ge (0.8994, 0.7988, 0.6924)
Se (0.2620, 0.0091, 0.7502)
Ge (0.1006, 0.2012, 0.3076)
Se (0.7471, 0.0091, 0.7502)
Se (0.7442, 0.4884, 0.7445)
Pr (0.5000, 0.0000, 0.5000)
Se (0.7380, 0.9909, 0.2498)
Cs (0.7188, 0.4376, 0.1596)
Se (0.2529, 0.9909, 0.2498)
Se (0.2558, 0.5116, 0.2555)
Cs (0.2812, 0.5624, 0.8404)



# 8
The following is a GGA-PBE calculation of Cs2GePt2 after structural relaxation, from Alexandria via LeMat-Bulk.

Results
Formation enthalpy at 0 K   0.08 eV/f.u.
Mass density   8.76 g/cm³
SG   P4/mbm

a = 6.7562 Å, b = 6.7562 Å, c = 6.0510 Å
α = 90.00°, β = 90.00°, γ = 90.00°
Fractional coordinates of all 10 atoms:
Cs (0.6805, 0.8195, 0.5000)
Pt (0.8576, 0.6424, 0.0000)
Pt (0.1424, 0.3576, 0.0000)
Cs (0.3195, 0.1805, 0.5000)
Pt (0.3576, 0.8576, 0.0000)
Pt (0.6424, 0.1424, 0.0000)
Cs (0.8195, 0.3195, 0.5000)
Cs (0.1805, 0.6805, 0.5000)
Ge (0.5000, 0.5000, 0.0000)
Ge (0.0000, 0.0000, 0.0000)



Total magnetization, respectively: 0.00; 0.00; 0.00; 0.00; 0.00; 0.00; 0.00; 0.00 μB per cell.